1.
Material: Tb2PmHo5Sc
Method: DFT, PBE
State: optimized geometry

Values from the calculation:
- energy of formation (eV per formula unit) = 1.51

Unit cell a=10.2113 b=10.2113 c=10.3687 alpha=90.00 beta=90.00 gamma=148.45
Atoms (fractional coordinates):
Tb  0.1115  0.8885  0.5000
Tb  0.1138  0.8862  0.9202
Tb  0.8862  0.1138  0.4202
Tb  0.8885  0.1115  0.0000
Pm  0.4129  0.5871  0.6401
Pm  0.5871  0.4129  0.1401
Ho  0.0185  0.9815  0.2049
Ho  0.2768  0.7232  0.5071
Ho  0.2981  0.7019  0.8904
Ho  0.3763  0.6237  0.2054
Ho  0.4811  0.5189  0.9242
Ho  0.5189  0.4811  0.4242
Ho  0.6237  0.3763  0.7054
Ho  0.7019  0.2981  0.3904
Ho  0.7232  0.2768  0.0071
Ho  0.9815  0.0185  0.7049
Sc  0.1963  0.8037  0.1997
Sc  0.8037  0.1963  0.6997

---

2.
Material: ZrSOF2
Method: DFT, PBE
State: optimized geometry

Values from the calculation:
- formation energy without anion corrections (eV per atom) = -0.52
- energy above the most stable polymorph in this dataset (eV/f.u.) = 7.75

Unit cell a=4.8107 b=4.8107 c=3.3559 alpha=90.00 beta=90.00 gamma=90.00
Atoms (fractional coordinates):
Zr  0.0000  0.0000  0.0000
S  0.5000  0.5000  0.5000
O  0.5000  0.5000  0.0000
F  0.0000  0.5000  0.5000
F  0.5000  0.0000  0.5000

---

3.
Material: NaHfP2
Method: DFT, PBE
State: optimized geometry

Values from the calculation:
- energy of formation (eV per formula unit) = -2.62
- energy above the most stable polymorph in this dataset (eV/f.u.) = 0.01

Unit cell a=7.3112 b=7.3112 c=7.3112 alpha=29.71 beta=29.71 gamma=29.71
Atoms (fractional coordinates):
Na  0.0000  0.0000  0.0000
Hf  0.8301  0.8301  0.8301
P  0.2349  0.2349  0.2349
P  0.4268  0.4268  0.4268

---

Copy entry 3 word for word.
Material: NaHfP2
Method: DFT, PBE
State: optimized geometry

Values from the calculation:
- energy of formation (eV per formula unit) = -2.62
- energy above the most stable polymorph in this dataset (eV/f.u.) = 0.01

Unit cell a=7.3112 b=7.3112 c=7.3112 alpha=29.71 beta=29.71 gamma=29.71
Atoms (fractional coordinates):
Na  0.0000  0.0000  0.0000
Hf  0.8301  0.8301  0.8301
P  0.2349  0.2349  0.2349
P  0.4268  0.4268  0.4268